1.
! Tc2AgRu (meta-GGA SCAN, PBEsol geometry); values from VASP
! total DFT energy (no corrections)	-133.3	eV for the cell shown
! volume	58.1	Å³ per cell
! space-group type	No. 225
! distance to the lowest polymorph of the same formula	431	meV/atom
&SYSTEM
  ibrav = 0, nat = 4, ntyp = 3
/
ATOMIC_SPECIES
Ag 107.87 Ag.upf
Ru 101.07 Ru.upf
Tc 98.00 Tc.upf
CELL_PARAMETERS angstrom
-3.1467 -0.1854 -2.9938
1.0228 -0.1293 -4.2233
-0.6221 -3.6510 -2.2763
ATOMIC_POSITIONS crystal
Ag 0.0000 0.0000 0.0000
Ru 0.5000 0.5000 0.5000
Tc 0.2500 0.2500 0.2500
Tc 0.7500 0.7500 0.7500

2.
! Be5Co4 (meta-GGA SCAN, PBEsol geometry); values from VASP
! total DFT energy (no corrections)	-185.3	eV for the cell shown
! volume	153.0	Å³ per cell
! space-group type	No. 193
&SYSTEM
  ibrav = 0, nat = 18, ntyp = 2
/
ATOMIC_SPECIES
Be 9.01 Be.upf
Co 58.93 Co.upf
CELL_PARAMETERS angstrom
4.3831 0.0000 0.0000
0.0000 6.3489 0.0000
0.0000 -3.1744 5.4983
ATOMIC_POSITIONS crystal
Be 0.7500 0.0000 0.6902
Be 0.7500 0.6902 0.0000
Be 0.7500 0.3098 0.3098
Be 0.2500 0.0000 0.3098
Be 0.2500 0.3098 0.0000
Be 0.2500 0.6902 0.6902
Be 0.0000 0.3333 0.6667
Be 0.5000 0.6667 0.3333
Be 0.0000 0.6667 0.3333
Be 0.5000 0.3333 0.6667
Co 0.0000 0.0000 0.0000
Co 0.5000 0.0000 0.0000
Co 0.7500 0.0000 0.3600
Co 0.7500 0.3600 0.0000
Co 0.7500 0.6400 0.6400
Co 0.2500 0.0000 0.6400
Co 0.2500 0.6400 0.0000
Co 0.2500 0.3600 0.3600

3.
! Zr2BeNi (meta-GGA SCAN, PBEsol geometry); values from VASP
! total DFT energy (no corrections)	-82.5	eV for the cell shown
! volume	62.4	Å³ per cell
! space-group type	No. 99
&SYSTEM
  ibrav = 0, nat = 4, ntyp = 3
/
ATOMIC_SPECIES
Ni 58.69 Ni.upf
Zr 91.22 Zr.upf
Be 9.01 Be.upf
CELL_PARAMETERS angstrom
-0.3839 2.1475 2.1146
-2.8401 -0.9712 0.4708
2.2437 -4.2644 4.7381
ATOMIC_POSITIONS crystal
Ni 0.5000 0.5000 0.6972
Zr 0.0000 0.0000 0.9560
Zr 0.5000 0.5000 0.2894
Be 0.0000 0.0000 0.5574

4.
! Na2Cd2Hg (meta-GGA SCAN, PBEsol geometry); values from VASP
! total DFT energy (no corrections)	-137.9	eV for the cell shown
! volume	133.7	Å³ per cell
! space-group type	No. 139
! distance to the lowest polymorph of the same formula	42	meV/atom
&SYSTEM
  ibrav = 0, nat = 5, ntyp = 3
/
ATOMIC_SPECIES
Na 22.99 Na.upf
Hg 200.59 Hg.upf
Cd 112.41 Cd.upf
CELL_PARAMETERS angstrom
-0.3741 3.4680 1.9022
-3.6193 -1.0708 1.2405
5.3977 -4.6433 5.3779
ATOMIC_POSITIONS crystal
Na 0.4030 0.4030 0.8060
Na 0.5970 0.5970 0.1940
Hg 0.0000 0.0000 0.0000
Cd 0.2500 0.7500 0.5000
Cd 0.7500 0.2500 0.5000

| no. | total magnetization (μB per cell) | energy of formation (kJ/mol of atoms) |
| --- | --- | --- |
| 1 | 1.394 | 73.2 |
| 2 | 0.115 | -17.6 |
| 3 | 0.000 | -15.1 |
| 4 | 0.000 | -8.8 |